## i
Here is a geometry-optimized Tl2TeIr structure from Alexandria. Energies are from GGA-PBE.

abc: 4.191 4.191 11.181
angles: 90.00 90.00 90.00
Space group I4/mmm (No. 139)
One atom of each set of equivalent atoms:
Tl: 0.000 0.500 0.250
Te: 0.000 0.000 0.000
Ir: 0.000 0.000 0.500

## Properties
DOS(E_F)	6.57	states/eV/cell

***

## ii
Here is a geometry-optimized Tl2TeIr structure from Alexandria. Energies are from GGA-PBE.

abc: 3.444 4.564 13.676
angles: 90.00 90.00 90.00
Space group Imm2 (No. 44)
One atom of each set of equivalent atoms:
Tl: 0.000 0.000 0.000
Tl: 0.000 0.500 0.177
Te: 0.000 0.000 0.361
Ir: 0.000 0.500 0.718

## Properties
DOS(E_F)	3.71	states/eV/cell

***

## iii
Here is a geometry-optimized Tl2TeIr structure from Alexandria. Energies are from GGA-PBE.

abc: 4.0123 4.0123 23.5582
angles: 90.00 90.00 120.00
Space group R3m (No. 160, hexagonal axes)
One atom of each set of equivalent atoms:
Tl: 0.0000 0.0000 0.0000
Tl: 0.0000 0.0000 0.2344
Te: 0.0000 0.0000 0.7785
Ir: 0.0000 0.0000 0.4952

## Properties
DOS(E_F)	6.40	states/eV/cell

***

Which of them is most stable, and which least? Most stable: iii; least stable: i.

***

## i
Here is a geometry-optimized Tm5Te4Ir structure from Alexandria. Energies are from GGA-PBE.

abc: 9.667 9.667 6.030
angles: 90.00 90.00 90.00
Space group I4/m (No. 87)
One atom of each set of equivalent atoms:
Tm: 0.000 0.000 0.000
Tm: 0.092 0.743 0.500
Te: 0.089 0.689 0.000
Ir: 0.000 0.000 0.500

## Properties
DOS(E_F)	18.16	states/eV/cell

***

## ii
Here is a geometry-optimized Tm5Te4Ir structure from Alexandria. Energies are from GGA-PBE.

abc: 4.174 4.174 31.250
angles: 90.00 90.00 90.00
Space group I4/mmm (No. 139)
One atom of each set of equivalent atoms:
Tm: 0.000 0.000 0.000
Tm: 0.000 0.000 0.212
Tm: 0.000 0.000 0.417
Te: 0.000 0.000 0.107
Te: 0.000 0.000 0.310
Ir: 0.000 0.000 0.500

## Properties
DOS(E_F)	10.30	states/eV/cell

***

Which of them is most stable, and which least? Most stable: i; least stable: ii.

***

## i
Here is a geometry-optimized Tm2TeIr structure from Alexandria. Energies are from GGA-PBE.

abc: 3.572 3.572 7.278
angles: 90.00 90.00 90.00
Space group P4/mmm (No. 123)
One atom of each set of equivalent atoms:
Tm: 0.000 0.000 0.220
Te: 0.500 0.500 0.500
Ir: 0.500 0.500 0.000

## Properties
DOS(E_F)	1.73	states/eV/cell

***

## ii
Here is a geometry-optimized Tm2TeIr structure from Alexandria. Energies are from GGA-PBE.

abc: 4.0968 4.0968 21.3463
angles: 90.00 90.00 120.00
Space group R-3m (No. 166, hexagonal axes)
One atom of each set of equivalent atoms:
Tm: 0.0000 0.0000 0.2354
Te: 0.0000 0.0000 0.0000
Ir: 0.0000 0.0000 0.5000

## Properties
DOS(E_F)	8.83	states/eV/cell

***

Which of them is most stable, and which least? Most stable: ii; least stable: i.

***

## i
Here is a geometry-optimized Tm3Te2Ir structure from Alexandria. Energies are from GGA-PBE.

abc: 5.925 14.503 4.150
angles: 90.00 90.00 90.00
Space group Cmmm (No. 65)
One atom of each set of equivalent atoms:
Tm: 0.000 0.000 0.000
Tm: 0.000 0.378 0.500
Te: 0.000 0.160 0.500
Ir: 0.000 0.500 0.000

## Properties
DOS(E_F)	10.36	states/eV/cell

***

## ii
Here is a geometry-optimized Tm3Te2Ir structure from Alexandria. Energies are from GGA-PBE.

abc: 8.596 12.058 25.186
angles: 90.00 90.00 90.00
Space group Fddd (No. 70, origin choice 2)
One atom of each set of equivalent atoms:
Tm: 0.086 0.375 0.375
Tm: 0.103 0.356 0.216
Te: 0.125 0.125 0.381
Te: 0.125 0.125 0.546
Ir: 0.125 0.125 0.042

## Properties
DOS(E_F)	42.52	states/eV/cell

***

Which of them is most stable, and which least? Most stable: ii; least stable: i.

***

## i
Here is a geometry-optimized VTeIr3 structure from Alexandria. Energies are from GGA-PBE.

abc: 4.594 4.594 4.594
angles: 90.00 90.00 90.00
Space group Pm-3m (No. 221)
One atom of each set of equivalent atoms:
V: 0.000 0.000 0.000
Te: 0.500 0.500 0.500
Ir: 0.000 0.000 0.500

## Properties
DOS(E_F)	5.20	states/eV/cell

***

## ii
Here is a geometry-optimized VTeIr3 structure from Alexandria. Energies are from GGA-PBE.

abc: 4.823 4.823 4.823
angles: 90.00 90.00 90.00
Space group Pm-3m (No. 221)
One atom of each set of equivalent atoms:
V: 0.000 0.000 0.000
Te: 0.500 0.500 0.500
Ir: 0.000 0.500 0.500

## Properties
DOS(E_F)	9.82	states/eV/cell

***

Which of them is most stable, and which least? Most stable: i; least stable: ii.

***

## i
Here is a geometry-optimized VTe2Ir structure from Alexandria. Energies are from GGA-PBE.

abc: 5.949 5.949 12.448
angles: 90.00 90.00 90.00
Space group I-42d (No. 122)
One atom of each set of equivalent atoms:
V: 0.000 0.000 0.000
Te: 0.239 0.250 0.625
Ir: 0.000 0.000 0.500

## Properties
DOS(E_F)	17.21	states/eV/cell

***

## ii
Here is a geometry-optimized VTe2Ir structure from Alexandria. Energies are from GGA-PBE.

abc: 3.9382 3.9382 24.6977
angles: 90.00 90.00 120.00
Space group R-3m (No. 166, hexagonal axes)
One atom of each set of equivalent atoms:
V: 0.0000 0.0000 0.0000
Te: 0.0000 0.0000 0.1104
Ir: 0.0000 0.0000 0.5000

## Properties
DOS(E_F)	8.21	states/eV/cell

***

Which of them is most stable, and which least? Most stable: i; least stable: ii.

***

## i
Here is a geometry-optimized Te4IrW structure from Alexandria. Energies are from GGA-PBE.

abc: 8.487 8.487 8.487
angles: 90.00 90.00 90.00
Space group F-43m (No. 216)
One atom of each set of equivalent atoms:
Te: 0.124 0.124 0.376
Ir: 0.250 0.250 0.750
W: 0.000 0.000 0.000

## Properties
DOS(E_F)	31.87	states/eV/cell

***

## ii
Here is a geometry-optimized Te4IrW structure from Alexandria. Energies are from GGA-PBE.

abc: 14.354 3.761 6.316
angles: 90.00 101.88 90.00
Space group Cm (No. 8)
One atom of each set of equivalent atoms:
Te: 0.000 0.000 0.000
Te: 0.035 0.500 0.527
Te: 0.262 0.500 0.225
Te: 0.305 0.000 0.740
Ir: 0.403 0.500 0.577
W: 0.397 0.000 0.185

## Properties
DOS(E_F)	4.65	states/eV/cell

***

Which of them is most stable, and which least? Most stable: ii; least stable: i.

***

## i
Here is a geometry-optimized YTe2Ir structure from Alexandria. Energies are from GGA-PBE.

abc: 7.510 4.316 6.651
angles: 90.00 112.19 90.00
Space group C2/m (No. 12)
One atom of each set of equivalent atoms:
Y: 0.000 0.000 0.000
Te: 0.235 0.000 0.706
Ir: 0.000 0.500 0.500

## Properties
DOS(E_F)	7.14	states/eV/cell

***

## ii
Here is a geometry-optimized YTe2Ir structure from Alexandria. Energies are from GGA-PBE.

abc: 3.903 4.676 13.887
angles: 90.00 90.00 90.00
Space group Immm (No. 71)
One atom of each set of equivalent atoms:
Y: 0.000 0.000 0.000
Te: 0.000 0.500 0.138
Ir: 0.000 0.000 0.500

## Properties
DOS(E_F)	3.27	states/eV/cell

***

Which of them is most stable, and which least? Most stable: ii; least stable: i.

***

## i
Here is a geometry-optimized YTe2Ir structure from Alexandria. Energies are from GGA-PBE.

abc: 4.892 4.892 3.709
angles: 90.00 90.00 90.00
Space group P4/mmm (No. 123)
One atom of each set of equivalent atoms:
Y: 0.000 0.000 0.000
Te: 0.000 0.500 0.500
Ir: 0.500 0.500 0.000

## Properties
DOS(E_F)	2.14	states/eV/cell

***

## ii
Here is a geometry-optimized YTe2Ir structure from Alexandria. Energies are from GGA-PBE.

abc: 3.689 3.689 8.035
angles: 90.00 90.00 90.00
Space group P4mm (No. 99)
One atom of each set of equivalent atoms:
Y: 0.000 0.000 0.000
Te: 0.000 0.000 0.383
Te: 0.500 0.500 0.811
Ir: 0.500 0.500 0.266

## Properties
DOS(E_F)	1.47	states/eV/cell

***

## iii
Here is a geometry-optimized YTe2Ir structure from Alexandria. Energies are from GGA-PBE.

abc: 4.289 6.286 7.328
angles: 90.00 90.00 90.00
Space group Cmmm (No. 65)
One atom of each set of equivalent atoms:
Y: 0.000 0.000 0.000
Te: 0.000 0.500 0.282
Ir: 0.000 0.000 0.500

## Properties
DOS(E_F)	4.28	states/eV/cell

***

## iv
Here is a geometry-optimized YTe2Ir structure from Alexandria. Energies are from GGA-PBE.

abc: 4.2097 4.2097 22.7848
angles: 90.00 90.00 120.00
Space group R3m (No. 160, hexagonal axes)
One atom of each set of equivalent atoms:
Y: 0.0000 0.0000 0.0000
Te: 0.0000 0.0000 0.5477
Te: 0.0000 0.0000 0.7470
Ir: 0.0000 0.0000 0.2508

## Properties
DOS(E_F)	13.70	states/eV/cell

***

Which of them is most stable, and which least? Most stable: iv; least stable: iii.

***

## i
Here is a geometry-optimized YTe2Ir structure from Alexandria. Energies are from GGA-PBE.

abc: 3.937 3.937 6.208
angles: 90.00 90.00 90.00
Space group P4mm (No. 99)
One atom of each set of equivalent atoms:
Y: 0.000 0.000 0.000
Te: 0.000 0.000 0.461
Te: 0.500 0.500 0.821
Ir: 0.500 0.500 0.354

## Properties
DOS(E_F)	1.69	states/eV/cell

***

## ii
Here is a geometry-optimized YTe2Ir structure from Alexandria. Energies are from GGA-PBE.

abc: 5.966 9.523 4.647
angles: 90.00 129.79 90.00
Space group C2/m (No. 12)
One atom of each set of equivalent atoms:
Y: 0.000 0.000 0.000
Te: 0.250 0.250 0.500
Ir: 0.000 0.500 0.000

## Properties
DOS(E_F)	4.48	states/eV/cell

***

## iii
Here is a geometry-optimized YTe2Ir structure from Alexandria. Energies are from GGA-PBE.

abc: 3.618 3.618 6.994
angles: 90.00 90.00 90.00
Space group P4/mmm (No. 123)
One atom of each set of equivalent atoms:
Y: 0.000 0.000 0.000
Te: 0.500 0.500 0.270
Ir: 0.000 0.000 0.500

## Properties
DOS(E_F)	5.53	states/eV/cell

***

## iv
Here is a geometry-optimized YTe2Ir structure from Alexandria. Energies are from GGA-PBE.

abc: 5.406 3.998 6.948
angles: 90.00 98.73 90.00
Space group P2/m (No. 10)
One atom of each set of equivalent atoms:
Y: 0.000 0.000 0.000
Te: 0.303 0.500 0.765
Ir: 0.500 0.000 0.000

***

Which of them is most stable, and which least? Most stable: iv; least stable: iii.

***

## i
Here is a geometry-optimized YTe2Ir structure from Alexandria. Energies are from GGA-PBE.

abc: 7.231 7.231 7.231
angles: 90.00 90.00 90.00
Space group F-43m (No. 216)
One atom of each set of equivalent atoms:
Y: 0.000 0.000 0.000
Te: 0.000 0.000 0.500
Te: 0.250 0.250 0.250
Ir: 0.250 0.250 0.750

## Properties
DOS(E_F)	21.56	states/eV/cell

***

## ii
Here is a geometry-optimized YTe2Ir structure from Alexandria. Energies are from GGA-PBE.

abc: 3.9940 3.9940 26.5281
angles: 90.00 90.00 120.00
Space group R-3m (No. 166, hexagonal axes)
One atom of each set of equivalent atoms:
Y: 0.0000 0.0000 0.0000
Te: 0.0000 0.0000 0.1155
Ir: 0.0000 0.0000 0.5000

## Properties
DOS(E_F)	0.00	states/eV/cell

***

## iii
Here is a geometry-optimized YTe2Ir structure from Alexandria. Energies are from GGA-PBE.

abc: 7.148 7.148 7.148
angles: 90.00 90.00 90.00
Space group Fm-3m (No. 225)
One atom of each set of equivalent atoms:
Y: 0.000 0.000 0.000
Te: 0.250 0.250 0.250
Ir: 0.000 0.000 0.500

## Properties
DOS(E_F)	17.04	states/eV/cell

***

Which of them is most stable, and which least? Most stable: iii; least stable: i.